Record 1
Nd2HoZr, relaxed, DFT PBE; space-group type = P4/mmm, No. 123; relative energy among the computed polymorphs = 0.0 kJ/mol of atoms
1.0
4.970 0.000 0.000
0.000 4.970 0.000
0.000 0.000 4.904
Nd Ho Zr
2 1 1
direct
0.000 0.500 0.000 Nd
0.500 0.000 0.000 Nd
0.000 0.000 0.500 Ho
0.500 0.500 0.500 Zr

=====

Record 2
BaTe2Pb2, relaxed, DFT PBE; formation energy without anion corrections = -549.2 meV per atom; space-group type = P4/mbm, No. 127; relative energy among the computed polymorphs = 9.5 kJ/mol of atoms
1.0
8.954 0.000 0.000
0.000 8.954 0.000
0.000 0.000 4.582
Ba Te Pb
2 4 4
direct
0.000 0.000 0.000 Ba
0.500 0.500 0.000 Ba
0.152 0.348 0.000 Te
0.348 0.848 0.000 Te
0.652 0.152 0.000 Te
0.848 0.652 0.000 Te
0.167 0.667 0.500 Pb
0.333 0.167 0.500 Pb
0.667 0.833 0.500 Pb
0.833 0.333 0.500 Pb

=====

Record 3
Tb5PrIr4, relaxed, DFT PBE; space-group type = C2/m, No. 12
1.0
9.059 -2.164 0.000
9.059 2.164 0.000
-3.056 0.000 6.798
Tb Pr Ir
5 1 4
direct
0.000 0.000 0.000 Tb
0.334 0.334 0.092 Tb
0.334 0.334 0.576 Tb
0.666 0.666 0.424 Tb
0.666 0.666 0.908 Tb
0.000 0.000 0.500 Pr
0.200 0.200 0.700 Ir
0.500 0.500 0.229 Ir
0.500 0.500 0.771 Ir
0.800 0.800 0.300 Ir

=====

Record 4
Ho3TmIr, relaxed, DFT PBE; space-group type = Pmn2_1, No. 31
1.0
7.570 0.000 0.000
0.000 6.487 0.000
0.000 0.000 6.118
Ho Tm Ir
6 2 2
direct
0.000 0.154 0.000 Ho
0.250 0.311 0.503 Ho
0.250 0.689 0.003 Ho
0.500 0.846 0.500 Ho
0.750 0.311 0.503 Ho
0.750 0.689 0.003 Ho
0.000 0.847 0.506 Tm
0.500 0.153 0.006 Tm
0.000 0.502 0.254 Ir
0.500 0.498 0.754 Ir

=====

Record 5
SiNi2Rh2, relaxed, DFT PBE; formation energy without anion corrections = 453.9 meV per atom; space-group type = I4/mmm, No. 139; relative energy among the computed polymorphs = 52.1 kJ/mol of atoms
1.0
-1.755 1.755 5.942
1.755 -1.755 5.942
1.755 1.755 -5.942
Si Ni Rh
1 2 2
direct
0.000 0.000 0.000 Si
0.405 0.405 0.000 Ni
0.595 0.595 0.000 Ni
0.250 0.750 0.500 Rh
0.750 0.250 0.500 Rh

=====

Record 6
RbCaB2H8, relaxed, DFT PBE; space-group type = R-3m, No. 166
1.0
2.185 1.261 7.683
-2.185 1.261 7.683
0.000 -2.523 7.683
Rb Ca B H
1 1 2 8
direct
0.000 0.000 0.000 Rb
0.500 0.500 0.500 Ca
0.236 0.236 0.236 B
0.764 0.764 0.764 B
0.063 0.063 0.528 H
0.063 0.528 0.063 H
0.289 0.289 0.289 H
0.472 0.937 0.937 H
0.528 0.063 0.063 H
0.711 0.711 0.711 H
0.937 0.472 0.937 H
0.937 0.937 0.472 H

=====

Record 7
BaSi2Ru, relaxed, DFT PBE; formation energy without anion corrections = -180.1 meV per atom; space-group type = Pm, No. 6
1.0
3.706 0.000 0.000
0.000 3.859 0.000
-0.419 0.000 6.340
Ba Si Ru
1 2 1
direct
0.000 0.000 0.000 Ba
0.458 0.500 0.705 Si
0.535 0.000 0.473 Si
0.933 0.500 0.471 Ru

=====

Record 8
Nd2GaRh2, relaxed, DFT PBE; space-group type = C2/c, No. 15
1.0
5.119 -2.810 0.000
5.119 2.810 0.000
-1.930 0.000 7.509
Nd Ga Rh
4 2 4
direct
0.000 0.292 0.149 Nd
0.000 0.708 0.851 Nd
0.292 0.000 0.649 Nd
0.708 0.000 0.351 Nd
0.362 0.638 0.250 Ga
0.638 0.362 0.750 Ga
0.232 0.502 0.494 Rh
0.498 0.768 0.006 Rh
0.502 0.232 0.994 Rh
0.768 0.498 0.506 Rh

=====

Total energy (eV per formula unit)
-22.16; -18.37; -69.62; -28.79; -29.42; -47.05; -22.76; -31.17